(1)
A relaxed KPtAu2 crystal. Source: Alexandria via LeMat-Bulk, functional PBE-GGA.

The structure in POSCAR format:
```
KPtAu2
1.0
1.498 0.865 10.152
-1.498 0.865 10.152
0.000 -1.730 10.152
K Pt Au
1 1 2
direct
0.000 0.000 0.000 K
0.245 0.245 0.245 Pt
0.504 0.504 0.504 Au
0.760 0.760 0.760 Au
```

## Properties
Its total moment is 0.0 μB per formula unit. The energy of formation from the pure elements is 0.205 eV per atom.


(2)
A relaxed KPt2Au crystal. Source: Alexandria via LeMat-Bulk, functional PBE-GGA.

The structure in POSCAR format:
```
KPt2Au
1.0
6.878 -1.383 0.000
6.878 1.383 0.000
-0.581 0.000 5.774
K Pt Au
1 2 1
direct
0.000 0.000 0.000 K
0.105 0.105 0.513 Pt
0.442 0.442 0.494 Pt
0.773 0.773 0.504 Au
```

## Properties
Its total moment is 0.0 μB per formula unit. The energy of formation from the pure elements is 0.007 eV per atom.


(3)
A relaxed KPtAu2 crystal. Source: Alexandria via LeMat-Bulk, functional PBE-GGA.

The structure in POSCAR format:
```
KPtAu2
1.0
-4.835 4.840 3.335
4.835 -4.840 3.335
4.835 4.840 -3.335
K Pt Au
2 2 4
direct
0.375 0.125 0.250 K
0.625 0.875 0.750 K
0.125 0.375 0.750 Pt
0.875 0.625 0.250 Pt
0.000 0.000 0.500 Au
0.000 0.500 0.000 Au
0.000 0.500 0.500 Au
0.500 0.500 0.000 Au
```

## Properties
Its total moment is 0.0 μB per formula unit. The energy of formation from the pure elements is 0.256 eV per atom.


(4)
A relaxed KPt2Au crystal. Source: Alexandria via LeMat-Bulk, functional PBE-GGA.

The structure in POSCAR format:
```
KPt2Au
1.0
2.927 -4.613 0.000
2.927 4.613 0.000
0.000 0.000 2.777
K Pt Au
1 2 1
direct
0.000 0.000 0.000 K
0.000 0.500 0.500 Pt
0.500 0.000 0.500 Pt
0.500 0.500 0.000 Au
```

## Properties
Its total moment is 0.0 μB per formula unit. The energy of formation from the pure elements is 0.220 eV per atom.


(5)
A relaxed KPt4Au crystal. Source: Alexandria via LeMat-Bulk, functional PBE-GGA.

The structure in POSCAR format:
```
KPt4Au
1.0
0.000 3.824 3.824
3.824 0.000 3.824
3.824 3.824 0.000
K Pt Au
1 4 1
direct
0.000 0.000 0.000 K
0.126 0.625 0.625 Pt
0.625 0.126 0.625 Pt
0.625 0.625 0.126 Pt
0.625 0.625 0.625 Pt
0.250 0.250 0.250 Au
```

## Properties
Its total moment is 0.0 μB per formula unit. The energy of formation from the pure elements is 0.027 eV per atom.


(6)
A relaxed KPtAu2 crystal. Source: Alexandria via LeMat-Bulk, functional PBE-GGA.

The structure in POSCAR format:
```
KPtAu2
1.0
-2.644 2.644 9.078
2.644 -2.644 9.078
2.644 2.644 -9.078
K Pt Au
2 2 4
direct
0.375 0.625 0.750 K
0.625 0.375 0.250 K
0.125 0.875 0.250 Pt
0.875 0.125 0.750 Pt
0.000 0.000 0.000 Au
0.000 0.000 0.500 Au
0.000 0.500 0.000 Au
0.500 0.000 0.500 Au
```

## Properties
Its total moment is 0.0 μB per formula unit. The energy of formation from the pure elements is 0.030 eV per atom.


(7)
A relaxed KPtAu2 crystal. Source: Alexandria via LeMat-Bulk, functional PBE-GGA.

The structure in POSCAR format:
```
KPtAu2
1.0
1.468 0.848 10.414
-1.468 0.848 10.414
0.000 -1.695 10.414
K Pt Au
1 1 2
direct
0.000 0.000 0.000 K
0.500 0.500 0.500 Pt
0.243 0.243 0.243 Au
0.757 0.757 0.757 Au
```

## Properties
Its total moment is 0.0 μB per formula unit. The energy of formation from the pure elements is 0.239 eV per atom.


(8)
A relaxed KPt2Au crystal. Source: Alexandria via LeMat-Bulk, functional PBE-GGA.

The structure in POSCAR format:
```
KPt2Au
1.0
5.251 0.000 0.000
0.000 5.251 0.000
0.000 0.000 2.788
K Pt Au
1 2 1
direct
0.000 0.000 0.000 K
0.000 0.500 0.500 Pt
0.500 0.000 0.500 Pt
0.500 0.500 0.000 Au
```

## Properties
Its total moment is 0.0 μB per formula unit. The energy of formation from the pure elements is 0.362 eV per atom.


(9)
A relaxed KPtAu3 crystal. Source: Alexandria via LeMat-Bulk, functional PBE-GGA.

The structure in POSCAR format:
```
KPtAu3
1.0
5.188 0.000 0.000
0.000 5.188 0.000
0.000 0.000 5.188
K Pt Au
1 1 3
direct
0.000 0.000 0.000 K
0.500 0.500 0.500 Pt
0.000 0.500 0.500 Au
0.500 0.000 0.500 Au
0.500 0.500 0.000 Au
```

## Properties
Its total moment is 0.0 μB per formula unit. The energy of formation from the pure elements is 0.135 eV per atom.


(10)
A relaxed K2Pt2Au crystal. Source: Alexandria via LeMat-Bulk, functional PBE-GGA.

The structure in POSCAR format:
```
K2Pt2Au
1.0
9.870 0.000 0.000
0.000 9.870 0.000
0.000 0.000 2.747
K Pt Au
4 4 2
direct
0.194 0.306 0.000 K
0.306 0.806 0.000 K
0.694 0.194 0.000 K
0.806 0.694 0.000 K
0.091 0.591 0.500 Pt
0.409 0.091 0.500 Pt
0.591 0.909 0.500 Pt
0.909 0.409 0.500 Pt
0.000 0.000 0.000 Au
0.500 0.500 0.000 Au
```

## Properties
Its total moment is 0.6 μB per formula unit. The energy of formation from the pure elements is 0.292 eV per atom.


(11)
A relaxed K2Pt2Au crystal. Source: Alexandria via LeMat-Bulk, functional PBE-GGA.

The structure in POSCAR format:
```
K2Pt2Au
1.0
-1.851 1.851 9.910
1.851 -1.851 9.910
1.851 1.851 -9.910
K Pt Au
2 2 1
direct
0.108 0.108 0.000 K
0.892 0.892 0.000 K
0.250 0.750 0.500 Pt
0.750 0.250 0.500 Pt
0.500 0.500 0.000 Au
```

## Properties
Its total moment is 0.0 μB per formula unit. The energy of formation from the pure elements is -0.064 eV per atom.


(12)
A relaxed KPt2Au crystal. Source: Alexandria via LeMat-Bulk, functional PBE-GGA.

The structure in POSCAR format:
```
KPt2Au
1.0
-2.199 2.199 3.971
2.199 -2.199 3.971
2.199 2.199 -3.971
K Pt Au
1 2 1
direct
0.000 0.000 0.000 K
0.250 0.750 0.500 Pt
0.500 0.500 0.000 Pt
0.750 0.250 0.500 Au
```

## Properties
Its total moment is 0.0 μB per formula unit. The energy of formation from the pure elements is 0.396 eV per atom.


(13)
A relaxed KPtAu2 crystal. Source: Alexandria via LeMat-Bulk, functional PBE-GGA.

The structure in POSCAR format:
```
KPtAu2
1.0
2.858 0.000 0.000
0.000 4.133 0.000
0.000 0.000 7.511
K Pt Au
1 1 2
direct
0.000 0.000 0.000 K
0.500 0.500 0.301 Pt
0.000 0.000 0.474 Au
0.500 0.500 0.681 Au
```

## Properties
Its total moment is 0.0 μB per formula unit. The energy of formation from the pure elements is 0.084 eV per atom.


no.,DOS at the Fermi energy (states/eV per cell)
1,3.1
2,1.6
3,7.8
4,2.3
5,1.9
6,6.5
7,3.3
8,3.8
9,2.6
10,12.0
11,3.5
12,1.5
13,3.1